Entry 1:
This record from Alexandria describes an optimized crystal structure of Ce2In5Ni. The functional is PBE.

Cell lengths 4.7667, 4.7667, 32.0073 Å; angles 90.00, 90.00, 120.00 degrees
Space group R-3m (No. 166, hexagonal axes)
Unique sites:
Ce 0.0000 0.0000 0.0795 x6
In 0.0000 0.0000 0.2021 x6
In 0.0000 0.0000 0.3545 x6
In 0.0000 0.0000 0.5000 x3
Ni 0.0000 0.0000 0.0000 x3

***

Entry 2:
This record from Alexandria describes an optimized crystal structure of Ce6SnPb3. The functional is PBE.

Cell lengths 10.9400, 10.9400, 17.1698 Å; angles 90.00, 90.00, 120.00 degrees
Space group R-3m (No. 166, hexagonal axes)
Unique sites:
Ce 0.0830 0.5415 0.0641 x18
Ce 0.1102 0.5551 0.8104 x18
Sn 0.0000 0.0000 0.0000 x3
Sn 0.0000 0.0000 0.5000 x3
Pb 0.0374 0.5187 0.3856 x18

***

Entry 3:
This record from Alexandria describes an optimized crystal structure of Zn7Cu6. The functional is PBE.

Cell lengths 4.9112, 4.9112, 25.4907 Å; angles 90.00, 90.00, 120.00 degrees
Space group R-3m (No. 166, hexagonal axes)
Unique sites:
Zn 0.0000 0.0000 0.0000 x3
Zn 0.0040 0.5020 0.4145 x18
Cu 0.0000 0.0000 0.1666 x6
Cu 0.0000 0.0000 0.3481 x6
Cu 0.0000 0.0000 0.4528 x6

***

Number 1: energy relative to the elements -0.208 eV/atom. Number 2: energy relative to the elements -0.237 eV/atom. Number 3: energy relative to the elements 0.037 eV/atom.